No. 1
Computed, not measured: an optimized crystal structure of MgCuPt2Br at the PBE level of DFT.

Output
Size of the total moment ... 0.000 μB per cell
SG ... P4/mmm (123)
Formation energy without anion corrections ... 222 kJ/mol of formula units
E_tot ... -3.429 eV/atom

Unit cell a=4.740 b=4.740 c=4.671 alpha=90.00 beta=90.00 gamma=90.00
Fractional positions:
Mg: 0.000 0.000 0.000
Cu: 0.500 0.500 0.500
Pt: 0.000 0.500 0.500
Pt: 0.500 0.000 0.500
Br: 0.500 0.500 0.000

=====

No. 2
Computed, not measured: an optimized crystal structure of RbMg3Cu4Br12 at the PBE level of DFT.

Output
Size of the total moment ... 1.185 μB per cell
SG ... R32 (155)
Formation energy without anion corrections ... -1756 kJ/mol of formula units
E_tot ... -3.020 eV/atom

Unit cell a=8.959 b=8.959 c=8.959 alpha=106.09 beta=106.09 gamma=106.09
Fractional positions:
Rb: 0.000 0.000 0.000
Mg: 0.000 0.568 0.432
Mg: 0.432 0.000 0.568
Mg: 0.568 0.432 0.000
Cu: 0.082 0.500 0.918
Cu: 0.500 0.500 0.500
Cu: 0.500 0.918 0.082
Cu: 0.918 0.082 0.500
Br: 0.024 0.647 0.748
Br: 0.090 0.910 0.500
Br: 0.252 0.353 0.976
Br: 0.334 0.666 0.500
Br: 0.353 0.976 0.252
Br: 0.500 0.090 0.910
Br: 0.500 0.334 0.666
Br: 0.647 0.748 0.024
Br: 0.666 0.500 0.334
Br: 0.748 0.024 0.647
Br: 0.910 0.500 0.090
Br: 0.976 0.252 0.353